1.
A plane-wave DFT calculation with GGA-PBE was carried out for a relaxed structure of RbSiMo.

Lattice parameters (Å, degrees): 3.4634 3.5724 13.2648 92.00 90.16 90.00
With the nearest neighbours (Å) after each atom.
Positions (direct):
Mo  0.7064  0.3646  0.1372  6 Si 2.51-2.73
Mo  0.7083  0.8884  0.3214  6 Si 2.51-2.73
Si  0.2066  0.8678  0.1618  6 Mo 2.51-2.73, 2 Si 2.53
Si  0.2081  0.3852  0.2968  6 Mo 2.51-2.73, 2 Si 2.53
Rb  0.1984  0.8328  0.9054  1 Si 3.40, 4 Rb 3.46-3.57
Rb  0.2051  0.4196  0.5532  1 Si 3.40, 4 Rb 3.46-3.57

Calculated values
raw total energy: -5.509 eV per atom
formation energy from raw total energies: 232 meV/atom
excess energy over the best structure of this formula in the dataset: 0.101 eV/atom

---

2.
A plane-wave DFT calculation with GGA-PBE was carried out for a relaxed structure of RbPr2Cl7.

Lattice parameters (Å, degrees): 5.5314 8.3440 8.3440 116.27 90.00 90.00
With the nearest neighbours (Å) after each atom.
Positions (direct):
Rb  0.0000  0.0000  0.0000  10 Cl 3.77-4.06
Pr  0.5000  0.6972  0.3028  7 Cl 2.78-2.87
Pr  0.5000  0.3028  0.6972  7 Cl 2.78-2.87
Cl  0.0000  0.7133  0.2867  2 Pr 2.78
Cl  0.0000  0.2867  0.7133  2 Pr 2.78
Cl  0.5000  0.0494  0.3265  2 Pr 2.86-2.87
Cl  0.5000  0.9506  0.6735  2 Pr 2.86-2.87
Cl  0.5000  0.3265  0.0494  2 Pr 2.86-2.87
Cl  0.5000  0.6735  0.9506  2 Pr 2.86-2.87
Cl  0.5000  0.5000  0.5000  2 Pr 2.79

Calculated values
raw total energy: -4.572 eV per atom
formation energy from raw total energies: -2227 meV/atom

---

3.
A plane-wave DFT calculation with GGA-PBE was carried out for a relaxed structure of CrTc2Br.

Lattice parameters (Å, degrees): 2.9929 3.0055 7.3126 90.00 90.00 90.00
With the nearest neighbours (Å) after each atom.
Positions (direct):
Br  0.5000  0.2500  0.2500  4 Tc 2.70, 4 Br 2.99-3.01
Cr  0.5000  0.7500  0.7500  8 Tc 2.54
Tc  0.0000  0.2500  0.9419  4 Cr 2.54, 2 Br 2.70, 1 Tc 2.81
Tc  0.0000  0.2500  0.5581  4 Cr 2.54, 2 Br 2.70, 1 Tc 2.81

Calculated values
raw total energy: -7.540 eV per atom
formation energy from raw total energies: 467 meV/atom
excess energy over the best structure of this formula in the dataset: 0.000 eV/atom

---

4.
A plane-wave DFT calculation with GGA-PBE was carried out for a relaxed structure of YIn9Ir2.

Lattice parameters (Å, degrees): 7.2009 9.4812 9.4812 81.71 67.68 67.68
With the nearest neighbours (Å) after each atom.
Positions (direct):
Y  0.5000  0.0000  0.0000  10 In 3.42-3.60
Y  0.2500  0.5000  0.5000  10 In 3.42-3.60
In  0.7500  0.5000  0.5000  8 In 3.08, 4 Ir 3.23
In  0.0000  0.0000  0.0000  8 In 3.08, 4 Ir 3.23
In  0.9733  0.9387  0.6995  2 Ir 2.83-2.95, 5 In 2.96-3.15
In  0.6115  0.0613  0.3005  2 Ir 2.83-2.95, 5 In 2.96-3.15
In  0.6620  0.1995  0.5613  2 Ir 2.83-2.95, 5 In 2.96-3.15
In  0.4228  0.8005  0.4387  2 Ir 2.83-2.95, 5 In 2.96-3.15
In  0.7767  0.8005  0.5613  2 Ir 2.83-2.95, 5 In 2.96-3.15
In  0.1385  0.1995  0.4387  2 Ir 2.83-2.95, 5 In 2.96-3.15
In  0.0880  0.9387  0.3005  2 Ir 2.83-2.95, 5 In 2.96-3.15
In  0.3272  0.0613  0.6995  2 Ir 2.83-2.95, 5 In 2.96-3.15
In  0.7767  0.5613  0.8005  2 Ir 2.83-2.95, 5 In 2.96-3.15
In  0.1385  0.4387  0.1995  2 Ir 2.83-2.95, 5 In 2.96-3.15
In  0.0880  0.3005  0.9387  2 Ir 2.83-2.95, 5 In 2.96-3.15
In  0.3272  0.6995  0.0613  2 Ir 2.83-2.95, 5 In 2.96-3.15
In  0.9733  0.6995  0.9387  2 Ir 2.83-2.95, 5 In 2.96-3.15
In  0.6115  0.3005  0.0613  2 Ir 2.83-2.95, 5 In 2.96-3.15
In  0.6620  0.5613  0.1995  2 Ir 2.83-2.95, 5 In 2.96-3.15
In  0.4228  0.4387  0.8005  2 Ir 2.83-2.95, 5 In 2.96-3.15
Ir  0.8750  0.2500  0.7500  8 In 2.83-2.95
Ir  0.8750  0.7500  0.2500  8 In 2.83-2.95
Ir  0.8750  0.2500  0.2500  8 In 2.83-2.95
Ir  0.3750  0.7500  0.7500  8 In 2.83-2.95

Calculated values
E_form: -0.0268 eV per atom
raw total energy: -4.096 eV per atom

---

5.
A plane-wave DFT calculation with GGA-PBE was carried out for a relaxed structure of Bi2IrPb2.

Lattice parameters (Å, degrees): 4.0456 4.0456 9.5219 77.73 77.73 90.00
With the nearest neighbours (Å) after each atom.
Positions (direct):
Pb  0.7500  0.2500  0.5000  4 Pb 2.86
Pb  0.2500  0.7500  0.5000  4 Pb 2.86
Ir  0.0000  0.0000  0.0000  8 Bi 3.23
Bi  0.4177  0.4177  0.1645  1 Bi 2.99, 4 Ir 3.23
Bi  0.5823  0.5823  0.8355  1 Bi 2.99, 4 Ir 3.23

Calculated values
E_form: 0.7299 eV per atom
raw total energy: -4.078 eV per atom
excess energy over the best structure of this formula in the dataset: 0.463 eV/atom

---

6.
A plane-wave DFT calculation with GGA-PBE was carried out for a relaxed structure of KBPb.

Lattice parameters (Å, degrees): 4.5992 4.5992 9.0537 90.00 90.00 120.00
With the nearest neighbours (Å) after each atom.
Positions (direct):
Pb  0.0000  0.0000  0.2171  3 B 2.89
Pb  0.0000  0.0000  0.7829  3 B 2.89
K  0.6667  0.3333  0.0000  6 B 2.78
K  0.6667  0.3333  0.5000  6 Pb 3.69
B  0.3333  0.6667  0.0925  1 B 1.68
B  0.3333  0.6667  0.9075  1 B 1.68

Calculated values
E_form: 0.7090 eV per atom
raw total energy: -3.119 eV per atom
excess energy over the best structure of this formula in the dataset: 0.571 eV/atom

---

7.
A plane-wave DFT calculation with GGA-PBE was carried out for a relaxed structure of HfSCl2.

Lattice parameters (Å, degrees): 4.6254 4.6254 4.6254 60.00 60.00 60.00
With the nearest neighbours (Å) after each atom.
Positions (direct):
S  0.0000  0.0000  0.0000  8 Cl 2.83
Hf  0.5000  0.5000  0.5000  8 Cl 2.83
Cl  0.2500  0.2500  0.2500  4 Hf 2.83, 4 S 2.83
Cl  0.7500  0.7500  0.7500  4 Hf 2.83, 4 S 2.83

Calculated values
raw total energy: -4.843 eV per atom
formation energy from raw total energies: -399 meV/atom
excess energy over the best structure of this formula in the dataset: 0.915 eV/atom

---

8.
A plane-wave DFT calculation with GGA-PBE was carried out for a relaxed structure of LiSc2Te.

Lattice parameters (Å, degrees): 10.8778 10.8778 10.8778 17.77 17.77 17.77
With the nearest neighbours (Å) after each atom.
Positions (direct):
Sc  0.9115  0.9115  0.9115  1 Te 2.84, 3 Li 3.17
Sc  0.0885  0.0885  0.0885  1 Te 2.84, 3 Li 3.17
Te  0.0000  0.0000  0.0000  2 Sc 2.84
Li  0.5000  0.5000  0.5000  6 Sc 3.17, 6 Li 3.36

Calculated values
raw total energy: -4.278 eV per atom
formation energy from raw total energies: 151 meV/atom

---

9.
A plane-wave DFT calculation with GGA-PBE was carried out for a relaxed structure of Sr5Si3.

Lattice parameters (Å, degrees): 9.4539 9.4539 9.4539 96.72 96.72 139.99
With the nearest neighbours (Å) after each atom.
Positions (direct):
Sr  0.2930  0.4153  0.7083  4 Si 3.24-3.47
Sr  0.7070  0.5847  0.2918  4 Si 3.24-3.47
Sr  0.4153  0.7070  0.1223  4 Si 3.24-3.47
Sr  0.5847  0.2930  0.8777  4 Si 3.24-3.47
Sr  0.9153  0.7930  0.7083  4 Si 3.24-3.47
Sr  0.2070  0.9153  0.1223  4 Si 3.24-3.47
Sr  0.7930  0.0847  0.8777  4 Si 3.24-3.47
Sr  0.0847  0.2070  0.2918  4 Si 3.24-3.47
Sr  0.2500  0.7500  0.5000  4 Si 3.18, 2 Sr 3.23
Sr  0.7500  0.2500  0.5000  4 Si 3.18, 2 Sr 3.23
Si  0.8458  0.3458  0.1916  6 Sr 3.18-3.47
Si  0.6542  0.8458  0.5000  6 Sr 3.18-3.47
Si  0.3458  0.1542  0.5000  6 Sr 3.18-3.47
Si  0.1542  0.6542  0.8084  6 Sr 3.18-3.47
Si  0.2500  0.2500  0.0000  2 Si 3.23, 8 Sr 3.24
Si  0.7500  0.7500  0.0000  2 Si 3.23, 8 Sr 3.24

Calculated values
raw total energy: -3.373 eV per atom
formation energy from raw total energies: -288 meV/atom
excess energy over the best structure of this formula in the dataset: 0.110 eV/atom

---

10.
A plane-wave DFT calculation with GGA-PBE was carried out for a relaxed structure of SrErSi4.

Lattice parameters (Å, degrees): 4.2742 7.6556 16.0377 90.00 90.00 90.00
With the nearest neighbours (Å) after each atom.
Positions (direct):
Sr  0.0000  0.6248  0.3426  12 Si 3.32-3.45
Sr  0.0000  0.3752  0.6574  12 Si 3.32-3.45
Sr  0.0000  0.1248  0.1574  12 Si 3.32-3.45
Sr  0.0000  0.8752  0.8426  12 Si 3.32-3.45
Er  0.0000  0.6307  0.0878  10 Si 2.94-3.01
Er  0.0000  0.3693  0.9122  10 Si 2.94-3.01
Er  0.0000  0.1307  0.4122  10 Si 2.94-3.01
Er  0.0000  0.8693  0.5878  10 Si 2.94-3.01
Si  0.5000  0.7812  0.1946  3 Si 2.35-2.45
Si  0.5000  0.2188  0.8054  3 Si 2.35-2.45
Si  0.5000  0.2812  0.3054  3 Si 2.35-2.45
Si  0.5000  0.7188  0.6946  3 Si 2.35-2.45
Si  0.5000  0.8814  0.0495  3 Si 2.41-2.45
Si  0.5000  0.1186  0.9505  3 Si 2.41-2.45
Si  0.5000  0.3814  0.4505  3 Si 2.41-2.45
Si  0.5000  0.6186  0.5495  3 Si 2.41-2.45
Si  0.5000  0.8693  0.4568  3 Si 2.43-2.48
Si  0.5000  0.1307  0.5432  3 Si 2.43-2.48
Si  0.5000  0.3693  0.0432  3 Si 2.43-2.48
Si  0.5000  0.6307  0.9568  3 Si 2.43-2.48
Si  0.5000  0.9710  0.3097  3 Si 2.35-2.48
Si  0.5000  0.0290  0.6903  3 Si 2.35-2.48
Si  0.5000  0.4710  0.1903  3 Si 2.35-2.48
Si  0.5000  0.5290  0.8097  3 Si 2.35-2.48

Calculated values
raw total energy: -5.035 eV per atom
formation energy from raw total energies: -379 meV/atom

---

11.
A plane-wave DFT calculation with GGA-PBE was carried out for a relaxed structure of CsPm2Sc.

Lattice parameters (Å, degrees): 3.6448 3.6448 13.1748 82.05 82.05 60.00
With the nearest neighbours (Å) after each atom.
Positions (direct):
Cs  0.0000  0.0000  0.0000  6 Cs 3.64, 2 Pm 3.84
Sc  0.5000  0.5000  0.5000  6 Pm 3.39, 6 Sc 3.64
Pm  0.0984  0.0984  0.7048  3 Sc 3.39, 6 Pm 3.64
Pm  0.9016  0.9016  0.2952  3 Sc 3.39, 6 Pm 3.64

Calculated values
E_form: 0.3360 eV per atom
raw total energy: -3.836 eV per atom

---

12.
A plane-wave DFT calculation with GGA-PBE was carried out for a relaxed structure of GaCuGe.

Lattice parameters (Å, degrees): 2.9525 5.8229 5.7899 90.00 90.00 90.01
With the nearest neighbours (Å) after each atom.
Positions (direct):
Ge  0.9206  0.8140  0.4228  1 Ga 2.56, 4 Cu 2.62-2.63
Ge  0.9207  0.3692  0.9228  1 Ga 2.56, 4 Cu 2.62-2.63
Ga  0.9212  0.8095  0.9231  1 Ge 2.56, 4 Cu 2.64
Ga  0.9214  0.3738  0.4231  1 Ge 2.56, 4 Cu 2.64
Cu  0.4206  0.0919  0.1728  4 Ge 2.62-2.63, 4 Ga 2.64, 2 Cu 2.89
Cu  0.4205  0.0914  0.6727  4 Ge 2.62-2.63, 4 Ga 2.64, 2 Cu 2.89

Calculated values
E_form: 0.0766 eV per atom
raw total energy: -3.837 eV per atom

---

> raw total energy of number 9 (Sr5Si3)?

-3.373 eV per atom